i) VASP calculation (GGA+U) on a relaxed structure of CaVP2O.

Cell: 5.2063 5.2063 4.1669 Å, 90.00 90.00 90.00°
With the nearest neighbours (Å) after each atom.
Positions (direct):
Ca 0.0000 0.0000 0.0000  2 O 2.08
V 0.5000 0.5000 0.5000  8 P 3.33, 4 O 3.68
P 0.0000 0.5000 0.0000  2 Ca 2.60
P 0.5000 0.0000 0.0000  2 Ca 2.60
O 0.0000 0.0000 0.5000  2 Ca 2.08

The space group is P4/mmm. The density of states at the Fermi level comes out at 4.60 states/eV/f.u. The crystal system is tetragonal.

ii) VASP calculation (GGA+U) on a relaxed structure of CaVP2O.

Cell: 4.8134 4.8134 3.7106 Å, 90.00 90.00 90.00°
With the nearest neighbours (Å) after each atom.
Positions (direct):
Ca 0.0000 0.0000 0.0000  8 P 3.04
V 0.5000 0.5000 0.5000  2 O 1.86
P 0.0000 0.5000 0.5000  2 V 2.41
P 0.5000 0.0000 0.5000  2 V 2.41
O 0.5000 0.5000 0.0000  2 V 1.86

The space group is P4/mmm. The density of states at the Fermi level comes out at 3.10 states/eV/f.u. The crystal system is tetragonal.

Consider the structures shown above. The most stable of them is ii).